Run one
Below is a relaxed structure of MoW, with properties calculated at the PBE level.

a b c (Å): 3.179 4.486 4.491
angles (deg): 90.00 90.00 90.00
Space group Cmmm (No. 65)
Unique sites:
1 Mo 0.000 0.000 0.000 x2
2 W 0.000 0.500 0.500 x2


Run two
Below is a relaxed structure of MoW, with properties calculated at the PBE level.

a b c (Å): 7.080 7.080 7.080
angles (deg): 90.00 90.00 90.00
Space group Pm-3n (No. 223)
Unique sites:
1 Mo 0.000 0.250 0.500 x6
2 W 0.000 0.500 0.250 x6


Which one is most stable, and which one is least stable? run one is the most stable of them, while run two is the least stable.


Run one
Below is a relaxed structure of MoW, with properties calculated at the PBE level.

a b c (Å): 10.040 3.178 6.361
angles (deg): 90.00 108.64 90.00
Space group C2/m (No. 12)
Unique sites:
1 Mo 0.000 0.000 0.000 x2
2 Mo 0.166 0.500 0.833 x4
3 W 0.000 0.000 0.500 x2
4 W 0.167 0.500 0.333 x4


Run two
Below is a relaxed structure of MoW, with properties calculated at the PBE level.

a b c (Å): 5.211 5.211 5.240
angles (deg): 90.00 90.00 90.00
Space group P4_2/mnm (No. 136)
Unique sites:
1 Mo 0.205 0.205 0.000 x4
2 W 0.203 0.203 0.500 x4


Which one is most stable, and which one is least stable? run one is the most stable of them, while run two is the least stable.